No. 1
LiTbTmCr | Alexandria | GGA-PBE | relaxed; space-group type = F-43m (216); D(E_F) = 2.8 states/eV per cell; calculated density = 7.1 g cm⁻³; ΔH_f (0 K) = 0.17 eV per atom; total moment = 3.15 μB per formula unit
1.0
0.0000 3.5706 3.5706
3.5706 0.0000 3.5706
3.5706 3.5706 0.0000
Li Tb Tm Cr
1 1 1 1
direct
0.0000 0.0000 0.0000
0.2500 0.2500 0.2500
0.7500 0.7500 0.7500
0.5000 0.5000 0.5000

---

No. 2
LiTbYCr | Alexandria | GGA-PBE | relaxed; space-group type = F-43m (216); D(E_F) = 3.0 states/eV per cell; calculated density = 5.4 g cm⁻³; ΔH_f (0 K) = 0.18 eV per atom; total moment = 3.14 μB per formula unit
1.0
0.0000 3.6058 3.6058
3.6058 0.0000 3.6058
3.6058 3.6058 0.0000
Li Tb Y Cr
1 1 1 1
direct
0.0000 0.0000 0.0000
0.2500 0.2500 0.2500
0.7500 0.7500 0.7500
0.5000 0.5000 0.5000

---

No. 3
LiCrTc3 | Alexandria | GGA-PBE | relaxed; energy relative to the lowest polymorph listed for this composition = 1.71 kcal/mol of atoms; space-group type = Pm-3m (221); D(E_F) = 8.1 states/eV per cell; calculated density = 8.7 g cm⁻³; ΔH_f (0 K) = 1.25 eV per atom; total moment = 0.00 μB per formula unit
1.0
4.0750 0.0000 0.0000
0.0000 4.0750 0.0000
0.0000 0.0000 4.0750
Li Cr Tc
1 1 3
direct
0.0000 0.0000 0.0000
0.5000 0.5000 0.5000
0.0000 0.0000 0.5000
0.0000 0.5000 0.0000
0.5000 0.0000 0.0000

---

No. 4
Li3CrTc | Alexandria | GGA-PBE | relaxed; energy relative to the lowest polymorph listed for this composition = 0.00 kcal/mol of atoms; space-group type = Pm-3m (221); D(E_F) = 3.7 states/eV per cell; calculated density = 3.5 g cm⁻³; ΔH_f (0 K) = 1.45 eV per atom; total moment = 3.99 μB per formula unit
1.0
4.3166 0.0000 0.0000
0.0000 4.3166 0.0000
0.0000 0.0000 4.3166
Li Cr Tc
3 1 1
direct
0.0000 0.0000 0.5000
0.0000 0.5000 0.0000
0.5000 0.0000 0.0000
0.0000 0.0000 0.0000
0.5000 0.5000 0.5000